Here is a relaxed KSc2Al crystal from Alexandria via LeMat-Bulk. Energies are from PBE.

Results
crystal system: cubic
total moment: 0.000 μB/f.u.
formation energy from the elements: 49 kJ per mole of atoms
space group: F-43m (216)

Geometry as CIF:
```
data_KSc2Al
_chemical_formula_sum 'K1 Sc2 Al1'
_symmetry_space_group_name_H-M 'P 1'
_symmetry_Int_Tables_number 1
_cell_length_a 5.297
_cell_length_b 5.297
_cell_length_c 5.297
_cell_angle_alpha 60.00
_cell_angle_beta 60.00
_cell_angle_gamma 60.00
loop_
_symmetry_equiv_pos_as_xyz
'x,y,z'
loop_
_atom_site_label
_atom_site_type_symbol
_atom_site_fract_x
_atom_site_fract_y
_atom_site_fract_z
_atom_site_occupancy
K1 K 0.000 0.000 0.000 1
Sc1 Sc 0.250 0.250 0.250 1
Sc2 Sc 0.500 0.500 0.500 1
Al1 Al 0.750 0.750 0.750 1
```

---

Here is a relaxed CsMgBr3 crystal from Alexandria via LeMat-Bulk. Energies are from PBE.

Results
energy relative to the elements, uncorrected: -1575.8 meV per atom
crystal system: monoclinic
total moment: 0.000 μB/f.u.
space group: P2_1/m (11)

Geometry as CIF:
```
data_CsMgBr3
_chemical_formula_sum 'Cs2 Mg2 Br6'
_symmetry_space_group_name_H-M 'P 1'
_symmetry_Int_Tables_number 1
_cell_length_a 4.382
_cell_length_b 9.660
_cell_length_c 10.091
_cell_angle_alpha 90.00
_cell_angle_beta 100.49
_cell_angle_gamma 90.00
loop_
_symmetry_equiv_pos_as_xyz
'x,y,z'
loop_
_atom_site_label
_atom_site_type_symbol
_atom_site_fract_x
_atom_site_fract_y
_atom_site_fract_z
_atom_site_occupancy
Cs1 Cs 0.191 0.250 0.370 1
Cs2 Cs 0.809 0.750 0.630 1
Mg1 Mg 0.392 0.250 0.837 1
Mg2 Mg 0.608 0.750 0.163 1
Br1 Br 0.047 0.750 0.020 1
Br2 Br 0.332 0.043 0.688 1
Br3 Br 0.332 0.457 0.688 1
Br4 Br 0.668 0.543 0.312 1
Br5 Br 0.668 0.957 0.312 1
Br6 Br 0.953 0.250 0.980 1
```

---

Here is a relaxed Cr2TeSe crystal from Alexandria via LeMat-Bulk. Energies are from PBE.

Results
energy relative to the elements, uncorrected: 666.3 meV per atom
crystal system: cubic
energy above the lowest structure with this stoichiometry: 823 meV/atom
total moment: 8.066 μB/f.u.
space group: F-43m (216)

Geometry as CIF:
```
data_Cr2TeSe
_chemical_formula_sum 'Cr2 Te1 Se1'
_symmetry_space_group_name_H-M 'P 1'
_symmetry_Int_Tables_number 1
_cell_length_a 4.916
_cell_length_b 4.916
_cell_length_c 4.916
_cell_angle_alpha 60.00
_cell_angle_beta 60.00
_cell_angle_gamma 60.00
loop_
_symmetry_equiv_pos_as_xyz
'x,y,z'
loop_
_atom_site_label
_atom_site_type_symbol
_atom_site_fract_x
_atom_site_fract_y
_atom_site_fract_z
_atom_site_occupancy
Cr1 Cr 0.000 0.000 0.000 1
Cr2 Cr 0.250 0.250 0.250 1
Te1 Te 0.750 0.750 0.750 1
Se1 Se 0.500 0.500 0.500 1
```

---

Which value of total moment does entry 3 give? 8.066 μB/f.u.